PBE ScHgRu2, relaxed; calculated volume = 69 Å³ per cell; E_form = 207.2 meV/atom; theoretical density = 10.8 g/cm³
1.0
-6.481 6.076 -1.374
-7.339 5.023 1.308
-5.268 7.195 1.138
Sc Ru Hg
1 2 1
direct
0.250 0.250 0.250 Sc
0.504 0.504 0.504 Ru
0.996 0.996 0.996 Ru
0.750 0.750 0.750 Hg